Here is a relaxed HfScTc crystal from the Open Quantum Materials Database. Energies are from PBE.

Properties
- Total magnetization: 0.00 μB/f.u.
- Energy of formation: 20.77 kcal/mol of atoms
- Crystal system: cubic

Cell: 6.2908 6.2908 6.2908 Å, 90.00 90.00 90.00°
Space group F-43m (No. 216)
Symmetry-distinct sites (fractional):
Hf 0.0000 0.0000 0.0000 [4 per cell]
Sc 0.2500 0.2500 0.2500 [4 per cell]
Tc 0.0000 0.0000 0.5000 [4 per cell]